a:
A plane-wave DFT calculation with PBE was carried out for an optimized crystal structure of Sm2InS.

Values from the calculation:
Crystal system ... trigonal
Space group ... R-3m, No. 166
Spin magnetization ... 0.0 μB per cell

```
Sm2InS
1.0
3.9343 0.0000 0.0000
1.9671 3.4072 0.0000
1.9671 1.1357 8.0517
Sm S In
2 1 1
Cartesian
1.9671 1.1357 1.6546
5.9014 3.4072 6.3971
0.0000 0.0000 0.0000
3.9343 2.2715 4.0258
```

---

b:
A plane-wave DFT calculation with PBE was carried out for an optimized crystal structure of Sm2InS.

Values from the calculation:
Crystal system ... trigonal
Space group ... R3m, No. 160
Spin magnetization ... 0.0 μB per cell

```
Sm2InS
1.0
-1.4624 3.6049 -0.1228
-2.4059 1.2208 2.8054
5.1919 4.3860 5.2439
S Sm In
1 2 1
Cartesian
2.5999 7.5974 7.0234
0.0070 2.1641 1.7642
3.9013 3.8329 4.3778
0.6691 4.6090 3.9681
```

---

c:
A plane-wave DFT calculation with PBE was carried out for an optimized crystal structure of Sm2InS.

Values from the calculation:
Crystal system ... orthorhombic
Space group ... Cmcm, No. 63
Spin magnetization ... 0.0 μB per cell

```
Sm2InS
1.0
4.3880 0.0000 0.0000
0.0000 4.0015 -0.7107
0.0000 0.0559 11.9352
Sm In S
4 2 2
Cartesian
1.0970 1.2804 7.2092
3.2910 2.7770 4.0152
1.0970 0.3198 1.8008
3.2910 3.7376 9.4237
3.2910 2.1699 0.5967
1.0970 1.8876 10.6277
3.2910 3.2590 6.7291
1.0970 0.7984 4.4953
```

---

Bottom line: a, by a margin of 10 meV per atom.

---

a:
A plane-wave DFT calculation with PBE was carried out for an optimized crystal structure of SmInS3.

Values from the calculation:
Crystal system ... orthorhombic
Space group ... Pmc2_1, No. 26
Spin magnetization ... 0.0 μB per cell

```
SmInS3
1.0
4.0355 0.0000 0.0000
0.0000 8.3854 0.0000
0.0000 0.0000 6.9940
S Sm In
6 2 2
Cartesian
0.0000 6.2355 6.2430
2.0177 1.1257 5.9488
2.0177 7.2598 2.4518
0.0000 2.1499 2.7460
2.0177 3.8844 0.4290
2.0177 4.5010 3.9260
0.0000 5.1237 1.9733
0.0000 3.2617 5.4703
2.0177 1.2814 1.5239
2.0177 7.1040 5.0209
```

---

b:
A plane-wave DFT calculation with PBE was carried out for an optimized crystal structure of SmInS3.

Values from the calculation:
Crystal system ... monoclinic
Space group ... C2/m, No. 12
Spin magnetization ... 0.0 μB per cell

```
SmInS3
1.0
-3.1884 -2.0488 -0.2268
5.6524 -5.2592 -0.1743
-0.9180 0.5198 8.2100
S In Sm
6 2 2
Cartesian
1.8938 -6.6025 1.2427
-0.3477 -0.1857 6.5662
0.6564 -4.9919 4.0886
0.8897 -1.7963 3.7203
1.7039 -3.4456 7.1727
-0.1578 -3.3427 0.6362
2.8432 -5.0507 5.6569
-1.2971 -1.7375 2.1520
-0.7303 -3.0300 5.8603
2.2764 -3.7582 1.9486
```

---

Bottom line: a, by a margin of 98 meV per atom.

---

a:
A plane-wave DFT calculation with PBE was carried out for an optimized crystal structure of InSn3S.

Values from the calculation:
Crystal system ... cubic
Space group ... Pm-3m, No. 221
Spin magnetization ... 0.0 μB per cell

```
InSn3S
1.0
5.6049 0.0000 0.0000
0.0000 5.6049 0.0000
0.0000 0.0000 5.6049
S Sn In
1 3 1
Cartesian
2.8025 2.8025 2.8025
0.0000 0.0000 2.8025
0.0000 2.8025 0.0000
2.8025 0.0000 0.0000
0.0000 0.0000 0.0000
```

---

b:
A plane-wave DFT calculation with PBE was carried out for an optimized crystal structure of InSn3S.

Values from the calculation:
Crystal system ... cubic
Space group ... Pm-3m, No. 221
Spin magnetization ... 0.0 μB per cell

```
InSn3S
1.0
5.3676 0.0000 0.0000
0.0000 5.3676 0.0000
0.0000 0.0000 5.3676
In Sn S
1 3 1
Cartesian
2.6838 2.6838 2.6838
0.0000 2.6838 0.0000
2.6838 0.0000 0.0000
0.0000 0.0000 2.6838
0.0000 0.0000 0.0000
```

---

Bottom line: b, by a margin of 528 meV per atom.